(1)
This record from Alexandria via LeMat-Bulk describes a relaxed structure of SmFe2C. The functional is PBE.

Lattice parameters (Å, degrees): 5.493 5.493 5.493 38.48 38.48 38.48
Positions (direct):
Sm 0.000 0.000 0.000
Fe 0.190 0.190 0.190
Fe 0.810 0.810 0.810
C 0.500 0.500 0.500

SG: No. 166
Total moment, μB/f.u.: 2.43
Formation energy from the elements, eV/atom: 0.256

(2)
This record from Alexandria via LeMat-Bulk describes a relaxed structure of Sm12Fe5C15. The functional is PBE.

Lattice parameters (Å, degrees): 10.612 10.612 5.224 90.00 90.00 120.00
Positions (direct):
Sm 0.000 0.430 0.000
Sm 0.000 0.791 0.000
Sm 0.185 0.729 0.500
Sm 0.209 0.209 0.000
Sm 0.271 0.456 0.500
Sm 0.430 0.000 0.000
Sm 0.456 0.271 0.500
Sm 0.544 0.815 0.500
Sm 0.570 0.570 0.000
Sm 0.729 0.185 0.500
Sm 0.791 0.000 0.000
Sm 0.815 0.544 0.500
Fe 0.000 0.155 0.500
Fe 0.155 0.000 0.500
Fe 0.333 0.667 0.000
Fe 0.667 0.333 0.000
Fe 0.845 0.845 0.500
C 0.000 0.322 0.500
C 0.000 0.448 0.500
C 0.000 0.807 0.500
C 0.192 0.713 0.000
C 0.193 0.193 0.500
C 0.287 0.479 0.000
C 0.322 0.000 0.500
C 0.448 0.000 0.500
C 0.479 0.287 0.000
C 0.521 0.808 0.000
C 0.552 0.552 0.500
C 0.678 0.678 0.500
C 0.713 0.192 0.000
C 0.807 0.000 0.500
C 0.808 0.521 0.000

SG: No. 189
Total moment, μB/f.u.: 3.22
Formation energy from the elements, eV/atom: -0.251

(3)
This record from Alexandria via LeMat-Bulk describes a relaxed structure of SmFe4C4. The functional is PBE.

Lattice parameters (Å, degrees): 7.043 7.043 3.588 90.00 90.00 90.00
Positions (direct):
Sm 0.250 0.250 0.250
Sm 0.750 0.750 0.750
Fe 0.094 0.849 0.123
Fe 0.151 0.594 0.623
Fe 0.349 0.906 0.623
Fe 0.406 0.651 0.123
Fe 0.594 0.349 0.877
Fe 0.651 0.094 0.377
Fe 0.849 0.406 0.377
Fe 0.906 0.151 0.877
C 0.035 0.580 0.128
C 0.080 0.965 0.628
C 0.420 0.535 0.628
C 0.465 0.920 0.128
C 0.535 0.080 0.872
C 0.580 0.465 0.372
C 0.920 0.035 0.372
C 0.965 0.420 0.872

SG: No. 86
Total moment, μB/f.u.: 2.44
Formation energy from the elements, eV/atom: 0.052

(4)
This record from Alexandria via LeMat-Bulk describes a relaxed structure of SmFeC3. The functional is PBE.

Lattice parameters (Å, degrees): 3.783 5.470 6.090 90.00 100.38 90.00
Positions (direct):
Sm 0.095 0.250 0.255
Sm 0.905 0.750 0.745
Fe 0.446 0.250 0.819
Fe 0.554 0.750 0.181
C 0.053 0.750 0.314
C 0.343 0.750 0.468
C 0.500 0.000 0.000
C 0.500 0.500 0.000
C 0.657 0.250 0.532
C 0.947 0.250 0.686

SG: No. 11
Total moment, μB/f.u.: 0.00
Formation energy from the elements, eV/atom: 0.056

(5)
This record from Alexandria via LeMat-Bulk describes a relaxed structure of Sm2FeC2. The functional is PBE.

Lattice parameters (Å, degrees): 6.075 5.199 10.212 90.00 90.00 90.00
Positions (direct):
Sm 0.008 0.250 0.241
Sm 0.229 0.250 0.550
Sm 0.271 0.750 0.050
Sm 0.492 0.750 0.741
Sm 0.508 0.250 0.259
Sm 0.729 0.250 0.950
Sm 0.771 0.750 0.450
Sm 0.992 0.750 0.759
Fe 0.245 0.250 0.850
Fe 0.255 0.750 0.350
Fe 0.745 0.250 0.650
Fe 0.755 0.750 0.150
C 0.009 0.750 0.247
C 0.230 0.750 0.527
C 0.270 0.250 0.027
C 0.491 0.250 0.747
C 0.509 0.750 0.253
C 0.730 0.750 0.973
C 0.770 0.250 0.473
C 0.991 0.250 0.753

SG: No. 62
Total moment, μB/f.u.: 0.00
Formation energy from the elements, eV/atom: -0.173

(6)
This record from Alexandria via LeMat-Bulk describes a relaxed structure of SmFe5C2. The functional is PBE.

Lattice parameters (Å, degrees): 5.550 5.550 5.550 144.83 109.07 81.71
Positions (direct):
Sm 0.000 0.000 0.000
Fe 0.151 0.336 0.815
Fe 0.479 0.664 0.815
Fe 0.500 0.000 0.500
Fe 0.521 0.336 0.185
Fe 0.849 0.664 0.185
C 0.258 0.758 0.500
C 0.742 0.242 0.500

SG: No. 71
Total moment, μB/f.u.: 8.82
Formation energy from the elements, eV/atom: 0.056

(7)
This record from Alexandria via LeMat-Bulk describes a relaxed structure of Sm2Fe3C2. The functional is PBE.

Lattice parameters (Å, degrees): 5.233 5.233 6.674 117.72 117.72 37.80
Positions (direct):
Sm 0.126 0.126 0.276
Sm 0.874 0.874 0.724
Fe 0.337 0.337 0.093
Fe 0.500 0.500 0.500
Fe 0.663 0.663 0.907
C 0.158 0.158 0.748
C 0.842 0.842 0.252

SG: No. 12
Total moment, μB/f.u.: 4.00
Formation energy from the elements, eV/atom: 0.132

(8)
This record from Alexandria via LeMat-Bulk describes a relaxed structure of Sm3FeC3. The functional is PBE.

Lattice parameters (Å, degrees): 6.780 6.780 5.242 90.00 90.00 101.43
Positions (direct):
Sm 0.108 0.892 0.750
Sm 0.168 0.412 0.750
Sm 0.412 0.168 0.250
Sm 0.588 0.832 0.750
Sm 0.832 0.588 0.250
Sm 0.892 0.108 0.250
Fe 0.299 0.701 0.250
Fe 0.701 0.299 0.750
C 0.125 0.875 0.250
C 0.175 0.440 0.250
C 0.440 0.175 0.750
C 0.560 0.825 0.250
C 0.825 0.560 0.750
C 0.875 0.125 0.750

SG: No. 63
Total moment, μB/f.u.: 0.43
Formation energy from the elements, eV/atom: -0.158

(9)
This record from Alexandria via LeMat-Bulk describes a relaxed structure of Sm2Fe5C4. The functional is PBE.

Lattice parameters (Å, degrees): 6.971 5.723 5.329 78.12 53.46 48.42
Positions (direct):
Sm 0.148 0.148 0.852
Sm 0.852 0.852 0.148
Fe 0.000 0.000 0.500
Fe 0.250 0.250 0.250
Fe 0.500 0.500 0.000
Fe 0.500 0.500 0.500
Fe 0.750 0.750 0.750
C 0.207 0.533 0.467
C 0.467 0.793 0.207
C 0.533 0.207 0.793
C 0.793 0.467 0.533

SG: No. 69
Total moment, μB/f.u.: 0.00
Formation energy from the elements, eV/atom: -0.146

(10)
This record from Alexandria via LeMat-Bulk describes a relaxed structure of Sm2FeC4. The functional is PBE.

Lattice parameters (Å, degrees): 6.765 6.765 6.765 112.54 84.62 135.27
Positions (direct):
Sm 0.144 0.161 0.304
Sm 0.356 0.661 0.017
Sm 0.644 0.339 0.983
Sm 0.856 0.839 0.696
Fe 0.250 0.750 0.500
Fe 0.750 0.250 0.500
C 0.078 0.661 0.739
C 0.126 0.832 0.959
C 0.374 0.332 0.706
C 0.422 0.161 0.583
C 0.578 0.839 0.417
C 0.626 0.668 0.294
C 0.874 0.168 0.041
C 0.922 0.339 0.261

SG: No. 72
Total moment, μB/f.u.: 0.00
Formation energy from the elements, eV/atom: -0.220

(11)
This record from Alexandria via LeMat-Bulk describes a relaxed structure of TbSmFeC. The functional is PBE.

Lattice parameters (Å, degrees): 3.734 3.734 11.130 90.00 90.00 90.00
Positions (direct):
Tb 0.250 0.750 0.000
Tb 0.750 0.250 0.000
Sm 0.250 0.250 0.298
Sm 0.750 0.750 0.702
Fe 0.250 0.750 0.500
Fe 0.750 0.250 0.500
C 0.250 0.250 0.570
C 0.750 0.750 0.430

SG: No. 129
Total moment, μB/f.u.: 0.00
Formation energy from the elements, eV/atom: 0.430

(12)
This record from Alexandria via LeMat-Bulk describes a relaxed structure of SmTiFe11C. The functional is PBE.

Lattice parameters (Å, degrees): 6.510 6.510 6.510 135.71 97.78 98.56
Positions (direct):
Sm 0.000 0.000 0.000
Ti 0.374 0.374 0.000
Fe 0.005 0.006 0.498
Fe 0.005 0.507 0.999
Fe 0.230 0.509 0.720
Fe 0.230 0.730 0.500
Fe 0.366 0.007 0.359
Fe 0.508 0.006 0.001
Fe 0.508 0.507 0.502
Fe 0.648 0.007 0.641
Fe 0.649 0.649 0.000
Fe 0.781 0.281 0.500
Fe 0.789 0.509 0.280
C 0.006 0.506 0.500

SG: No. 44
Total moment, μB/f.u.: 22.34
Formation energy from the elements, eV/atom: -0.066

(13)
This record from Alexandria via LeMat-Bulk describes a relaxed structure of FeSnC3. The functional is PBE.

Lattice parameters (Å, degrees): 3.857 3.857 3.857 90.00 90.00 90.00
Positions (direct):
Fe 0.000 0.000 0.000
Sn 0.500 0.500 0.500
C 0.000 0.000 0.500
C 0.000 0.500 0.000
C 0.500 0.000 0.000

SG: No. 221
Total moment, μB/f.u.: 0.00
Formation energy from the elements, eV/atom: 1.864

(14)
This record from Alexandria via LeMat-Bulk describes a relaxed structure of FeSnC3. The functional is PBE.

Lattice parameters (Å, degrees): 4.217 4.217 4.217 90.00 90.00 90.00
Positions (direct):
Fe 0.000 0.000 0.000
Sn 0.500 0.500 0.500
C 0.000 0.500 0.500
C 0.500 0.000 0.500
C 0.500 0.500 0.000

SG: No. 221
Total moment, μB/f.u.: 0.25
Formation energy from the elements, eV/atom: 3.431

(15)
This record from Alexandria via LeMat-Bulk describes a relaxed structure of FeSn3C. The functional is PBE.

Lattice parameters (Å, degrees): 4.769 4.769 4.769 90.00 90.00 90.00
Positions (direct):
Fe 0.000 0.000 0.000
Sn 0.000 0.000 0.500
Sn 0.000 0.500 0.000
Sn 0.500 0.000 0.000
C 0.500 0.500 0.500

SG: No. 221
Total moment, μB/f.u.: 2.00
Formation energy from the elements, eV/atom: 1.237

(16)
This record from Alexandria via LeMat-Bulk describes a relaxed structure of Fe3SnC. The functional is PBE.

Lattice parameters (Å, degrees): 4.738 4.738 4.738 90.00 90.00 90.00
Positions (direct):
Fe 0.000 0.000 0.500
Fe 0.000 0.500 0.000
Fe 0.500 0.000 0.000
Sn 0.000 0.000 0.000
C 0.500 0.500 0.500

SG: No. 221
Total moment, μB/f.u.: 7.61
Formation energy from the elements, eV/atom: 2.667

(17)
This record from Alexandria via LeMat-Bulk describes a relaxed structure of Fe3SnC. The functional is PBE.

Lattice parameters (Å, degrees): 3.832 3.832 3.832 90.00 90.00 90.00
Positions (direct):
Fe 0.000 0.000 0.500
Fe 0.000 0.500 0.000
Fe 0.500 0.000 0.000
Sn 0.500 0.500 0.500
C 0.000 0.000 0.000

SG: No. 221
Total moment, μB/f.u.: 0.00
Formation energy from the elements, eV/atom: 0.050

(18)
This record from Alexandria via LeMat-Bulk describes a relaxed structure of Ti2FeSnC. The functional is PBE.

Lattice parameters (Å, degrees): 4.269 4.269 3.893 90.00 90.00 90.00
Positions (direct):
Ti 0.000 0.500 0.000
Ti 0.500 0.000 0.000
Fe 0.000 0.000 0.500
Sn 0.500 0.500 0.500
C 0.000 0.000 0.000

SG: No. 123
Total moment, μB/f.u.: 2.10
Formation energy from the elements, eV/atom: -0.371

(19)
This record from Alexandria via LeMat-Bulk describes a relaxed structure of YFeSnC2. The functional is PBE.

Lattice parameters (Å, degrees): 4.517 4.517 5.052 90.00 90.00 90.00
Positions (direct):
Y 0.000 0.000 0.000
Fe 0.000 0.000 0.500
Sn 0.500 0.500 0.500
C 0.000 0.500 0.000
C 0.500 0.000 0.000

SG: No. 123
Total moment, μB/f.u.: 0.44
Formation energy from the elements, eV/atom: 2.335

(20)
This record from Alexandria via LeMat-Bulk describes a relaxed structure of Y2FeSnC. The functional is PBE.

Lattice parameters (Å, degrees): 5.063 5.063 3.799 90.00 90.00 90.00
Positions (direct):
Y 0.000 0.500 0.000
Y 0.500 0.000 0.000
Fe 0.000 0.000 0.500
Sn 0.500 0.500 0.500
C 0.000 0.000 0.000

SG: No. 123
Total moment, μB/f.u.: 1.47
Formation energy from the elements, eV/atom: -0.402

(21)
This record from Alexandria via LeMat-Bulk describes a relaxed structure of SrFeC2. The functional is PBE.

Lattice parameters (Å, degrees): 6.265 6.265 6.265 135.62 135.62 64.57
Positions (direct):
Sr 0.375 0.625 0.750
Sr 0.625 0.375 0.250
Fe 0.125 0.875 0.250
Fe 0.875 0.125 0.750
C 0.000 0.000 0.000
C 0.000 0.000 0.500
C 0.000 0.500 0.000
C 0.500 0.000 0.500

SG: No. 141
Total moment, μB/f.u.: 0.00
Formation energy from the elements, eV/atom: 0.254

(22)
This record from Alexandria via LeMat-Bulk describes a relaxed structure of SrFeC3. The functional is PBE.

Lattice parameters (Å, degrees): 4.453 4.453 4.453 90.00 90.00 90.00
Positions (direct):
Sr 0.000 0.000 0.000
Fe 0.500 0.500 0.500
C 0.000 0.000 0.500
C 0.000 0.500 0.000
C 0.500 0.000 0.000

SG: No. 221
Total moment, μB/f.u.: 0.09
Formation energy from the elements, eV/atom: 4.122

(23)
This record from Alexandria via LeMat-Bulk describes a relaxed structure of SrFe3C. The functional is PBE.

Lattice parameters (Å, degrees): 4.750 4.750 4.750 90.00 90.00 90.00
Positions (direct):
Sr 0.000 0.000 0.000
Fe 0.000 0.000 0.500
Fe 0.000 0.500 0.000
Fe 0.500 0.000 0.000
C 0.500 0.500 0.500

SG: No. 221
Total moment, μB/f.u.: 7.58
Formation energy from the elements, eV/atom: 3.516

| no. | volume (Å³/cell) |
| --- | --- |
| 1 | 57.6 |
| 2 | 509.5 |
| 3 | 178.0 |
| 4 | 124.0 |
| 5 | 322.5 |
| 6 | 90.7 |
| 7 | 97.5 |
| 8 | 236.2 |
| 9 | 121.3 |
| 10 | 193.5 |
| 11 | 155.2 |
| 12 | 178.4 |
| 13 | 57.4 |
| 14 | 75.0 |
| 15 | 108.4 |
| 16 | 106.3 |
| 17 | 56.3 |
| 18 | 70.9 |
| 19 | 103.1 |
| 20 | 97.4 |
| 21 | 118.6 |
| 22 | 88.3 |
| 23 | 107.2 |